1.
## LiNbPt6 (PBE)

Data for crystalline LiNbPt6 at its relaxed geometry.

Geometry as POSCAR:
```
LiNbPt6
1.0
3.6119 2.0853 3.2432
-3.6119 2.0853 3.2432
0.0000 -4.1706 3.2432
Li Nb Pt
1 1 6
Cartesian
0.0000 0.0000 0.0000
0.0000 0.0000 4.8649
0.0000 -1.6201 2.8922
-1.4031 0.8101 2.8922
-1.4031 -0.8101 6.8376
1.4031 0.8101 2.8921
1.4031 -0.8101 6.8376
0.0000 1.6201 6.8376
```

Values from the calculation:
**Space-group type**: R-3m, No. 166
**Magnetic moment**: 0.000 Bohr magnetons per cell
**Crystal system**: trigonal
**Calculated formation energy**: 4 kJ per mole of atoms



2.
## LiNbPt6 (PBE)

Data for crystalline LiNbPt6 at its relaxed geometry.

Geometry as POSCAR:
```
LiNbPt6
1.0
3.9658 0.0000 0.0000
0.0000 3.9658 0.0000
0.0000 0.0000 7.7845
Li Nb Pt
1 1 6
Cartesian
0.0000 0.0000 0.0000
0.0000 0.0000 3.8923
0.0000 1.9829 1.9286
0.0000 1.9829 5.8560
1.9829 0.0000 1.9286
1.9829 0.0000 5.8560
1.9829 1.9829 0.0000
1.9829 1.9829 3.8923
```

Values from the calculation:
**Space-group type**: P4/mmm, No. 123
**Magnetic moment**: 0.000 Bohr magnetons per cell
**Crystal system**: tetragonal
**Calculated formation energy**: -57 kJ per mole of atoms



3.
## Li2NbPt3 (PBE)

Data for crystalline Li2NbPt3 at its relaxed geometry.

Geometry as POSCAR:
```
Li2NbPt3
1.0
2.9186 0.0000 0.0000
0.0000 2.9186 0.0000
0.0000 0.0000 9.9580
Li Nb Pt
2 1 3
Cartesian
0.0000 0.0000 1.4612
0.0000 0.0000 8.4968
0.0000 0.0000 4.9790
1.4593 1.4593 0.0000
1.4593 1.4593 3.0709
1.4593 1.4593 6.8871
```

Values from the calculation:
**Space-group type**: P4/mmm, No. 123
**Magnetic moment**: 0.000 Bohr magnetons per cell
**Crystal system**: tetragonal
**Calculated formation energy**: -58 kJ per mole of atoms



4.
## Li2NbPt (PBE)

Data for crystalline Li2NbPt at its relaxed geometry.

Geometry as POSCAR:
```
Li2NbPt
1.0
-1.8571 1.8571 9.9314
1.8571 -1.8571 9.9314
1.8571 1.8571 -9.9314
Li Nb Pt
4 2 2
Cartesian
2.7856 0.8409 -2.4829
0.8409 0.9285 2.4829
-0.9285 1.0161 7.4486
1.0161 0.9285 12.4143
1.8571 0.0000 4.9657
0.0000 0.0000 9.9314
0.0000 0.0000 0.0000
0.0000 1.8571 4.9657
```

Values from the calculation:
**Space-group type**: I-42d, No. 122
**Magnetic moment**: 0.000 Bohr magnetons per cell
**Crystal system**: tetragonal
**Calculated formation energy**: 1 kJ per mole of atoms



5.
## LiNb4Pt5 (PBE)

Data for crystalline LiNb4Pt5 at its relaxed geometry.

Geometry as POSCAR:
```
LiNb4Pt5
1.0
2.8536 0.0000 0.0000
0.0000 2.8536 0.0000
0.0000 0.0000 19.4946
Li Nb Pt
1 4 5
Cartesian
0.0000 0.0000 0.0000
0.0000 0.0000 3.5899
0.0000 0.0000 7.6983
0.0000 0.0000 11.7964
0.0000 0.0000 15.9048
1.4268 1.4268 1.6622
1.4268 1.4268 5.6486
1.4268 1.4268 9.7473
1.4268 1.4268 13.8460
1.4268 1.4268 17.8324
```

Values from the calculation:
**Space-group type**: P4/mmm, No. 123
**Magnetic moment**: 0.000 Bohr magnetons per cell
**Crystal system**: tetragonal
**Calculated formation energy**: -62 kJ per mole of atoms



6.
## LiNb2Pt6 (PBE)

Data for crystalline LiNb2Pt6 at its relaxed geometry.

Geometry as POSCAR:
```
LiNb2Pt6
1.0
2.8109 0.0000 0.0000
0.0000 6.5968 3.8111
0.0000 -6.5968 3.8111
Li Nb Pt
1 2 6
Cartesian
0.0000 0.0000 0.0000
1.4055 -2.1940 3.8092
1.4055 2.1940 3.8092
0.0000 2.3510 6.2635
0.0000 0.0000 2.7061
0.0000 -2.3510 6.2635
1.4055 -4.6562 4.9271
1.4055 0.0000 5.3900
1.4055 4.6562 4.9271
```

Values from the calculation:
**Space-group type**: Amm2, No. 38
**Magnetic moment**: 0.000 Bohr magnetons per cell
**Crystal system**: orthorhombic
**Calculated formation energy**: -50 kJ per mole of atoms



7.
## LiNb2Pt9 (PBE)

Data for crystalline LiNb2Pt9 at its relaxed geometry.

Geometry as POSCAR:
```
LiNb2Pt9
1.0
3.9815 0.0000 0.0000
0.0000 3.9815 0.0000
0.0000 0.0000 11.8103
Li Nb Pt
1 2 9
Cartesian
0.0000 0.0000 0.0000
0.0000 0.0000 3.8013
0.0000 0.0000 8.0090
0.0000 1.9907 1.9533
0.0000 1.9907 5.9052
0.0000 1.9907 9.8570
1.9907 0.0000 1.9533
1.9907 0.0000 5.9052
1.9907 0.0000 9.8570
1.9907 1.9907 0.0000
1.9907 1.9907 3.9441
1.9907 1.9907 7.8662
```

Values from the calculation:
**Space-group type**: P4/mmm, No. 123
**Magnetic moment**: 0.000 Bohr magnetons per cell
**Crystal system**: tetragonal
**Calculated formation energy**: -59 kJ per mole of atoms



8.
## LiNbRe2Pt (PBE)

Data for crystalline LiNbRe2Pt at its relaxed geometry.

Geometry as POSCAR:
```
LiNbRe2Pt
1.0
4.2116 0.0000 0.0000
0.0000 4.2116 0.0000
0.0000 0.0000 4.1341
Li Nb Re Pt
1 1 2 1
Cartesian
0.0000 0.0000 0.0000
2.1058 2.1058 2.0670
0.0000 2.1058 0.0000
2.1058 0.0000 0.0000
0.0000 0.0000 2.0670
```

Values from the calculation:
**Space-group type**: P4/mmm, No. 123
**Magnetic moment**: 0.000 Bohr magnetons per cell
**Crystal system**: tetragonal
**Calculated formation energy**: 67 kJ per mole of atoms



9.
## LiNb2RePt (PBE)

Data for crystalline LiNb2RePt at its relaxed geometry.

Geometry as POSCAR:
```
LiNb2RePt
1.0
4.9045 0.0000 0.0000
0.0000 4.9045 0.0000
0.0000 0.0000 4.0085
Li Nb Re Pt
1 2 1 1
Cartesian
0.0000 0.0000 0.0000
0.0000 2.4523 2.0043
2.4523 0.0000 2.0043
2.4523 2.4523 0.0000
0.0000 0.0000 2.0043
```

Values from the calculation:
**Space-group type**: P4/mmm, No. 123
**Magnetic moment**: 0.000 Bohr magnetons per cell
**Crystal system**: tetragonal
**Calculated formation energy**: 105 kJ per mole of atoms



10.
## LiNbPtRh (PBE)

Data for crystalline LiNbPtRh at its relaxed geometry.

Geometry as POSCAR:
```
LiNbPtRh
1.0
-2.0431 2.0431 3.5713
2.0431 -2.0431 3.5713
2.0431 2.0431 -3.5713
Li Nb Pt Rh
1 1 1 1
Cartesian
0.0000 0.0000 0.0000
0.0000 0.0000 3.5713
0.0000 2.0431 1.7857
2.0431 0.0000 1.7857
```

Values from the calculation:
**Space-group type**: I-4m2, No. 119
**Magnetic moment**: 0.000 Bohr magnetons per cell
**Crystal system**: tetragonal
**Calculated formation energy**: -51 kJ per mole of atoms



11.
## LiNbPtRh (PBE)

Data for crystalline LiNbPtRh at its relaxed geometry.

Geometry as POSCAR:
```
LiNbPtRh
1.0
0.0000 3.1113 3.1113
3.1113 0.0000 3.1113
3.1113 3.1113 0.0000
Li Nb Pt Rh
1 1 1 1
Cartesian
0.0000 0.0000 0.0000
3.1113 3.1113 3.1113
4.6669 4.6669 4.6669
1.5556 1.5556 1.5556
```

Values from the calculation:
**Space-group type**: F-43m, No. 216
**Magnetic moment**: 0.000 Bohr magnetons per cell
**Crystal system**: cubic
**Calculated formation energy**: -48 kJ per mole of atoms



12.
## SrLiNb2Pt (PBE)

Data for crystalline SrLiNb2Pt at its relaxed geometry.

Geometry as POSCAR:
```
SrLiNb2Pt
1.0
4.5725 0.0000 0.0000
0.0000 4.5725 0.0000
0.0000 0.0000 4.7780
Sr Li Nb Pt
1 1 2 1
Cartesian
0.0000 0.0000 0.0000
2.2863 2.2863 2.3890
0.0000 2.2863 2.3890
2.2863 0.0000 2.3890
2.2863 2.2863 0.0000
```

Values from the calculation:
**Space-group type**: P4/mmm, No. 123
**Magnetic moment**: 0.001 Bohr magnetons per cell
**Crystal system**: tetragonal
**Calculated formation energy**: 79 kJ per mole of atoms